11
Lattice="7.443 -3.252 0.000 7.443 3.252 0.000 -2.657 0.000 8.506" Properties=species:S:1:pos:R:3 comment="La5PrSn5 (PBE-GGA, optimized geometry)" total_energy_ev_per_atom=-5.023 crystal_system=monoclinic formation_enthalpy_0k_mev_per_atom=-529 pbc="T T T"
La 0.000 0.000 0.000
La 3.146 0.000 5.626
La 4.474 0.000 1.427
La 7.754 0.000 7.080
La 9.082 0.000 2.881
Pr -1.329 0.000 4.253
Sn 1.535 0.000 2.791
Sn 0.221 0.000 7.096
Sn 6.114 0.000 4.253
Sn 12.008 0.000 1.411
Sn 10.693 0.000 5.715